No. 1
{
  "formula": "BaSc2Re",
  "functional": "SCAN",
  "state": "single point on PBEsol structure",
  "cell": [[0.000, 3.545, 3.545], [3.545, 0.000, 3.545], [3.545, 3.545, 0.000]],
  "species": ["Ba", "Sc", "Sc", "Re"],
  "fractional_positions": [[0.000, 0.000, 0.000], [0.250, 0.250, 0.250], [0.500, 0.500, 0.500], [0.750, 0.750, 0.750]],
  "formation_enthalpy_0k_ev_per_atom": 0.824,
  "total_magnetization_mub_per_atom": 0.000,
  "n_ef_per_ev_atom": 1.154
}


No. 2
{
  "formula": "BaScRe2",
  "functional": "SCAN",
  "state": "single point on PBEsol structure",
  "cell": [[2.827, 0.000, 0.000], [0.000, 2.827, 0.000], [0.000, 0.000, 10.031]],
  "species": ["Ba", "Sc", "Re", "Re"],
  "fractional_positions": [[0.000, 0.000, 0.000], [0.000, 0.000, 0.500], [0.500, 0.500, 0.284], [0.500, 0.500, 0.716]],
  "formation_enthalpy_0k_ev_per_atom": 0.962,
  "total_magnetization_mub_per_atom": 0.000,
  "n_ef_per_ev_atom": 0.840
}


No. 3
{
  "formula": "Ba2ScRe",
  "functional": "SCAN",
  "state": "single point on PBEsol structure",
  "cell": [[1.746, 1.008, 10.652], [-1.746, 1.008, 10.652], [0.000, -2.016, 10.652]],
  "species": ["Ba", "Ba", "Sc", "Re"],
  "fractional_positions": [[0.239, 0.239, 0.239], [0.761, 0.761, 0.761], [0.000, 0.000, 0.000], [0.500, 0.500, 0.500]],
  "formation_enthalpy_0k_ev_per_atom": 1.283,
  "total_magnetization_mub_per_atom": 0.000,
  "n_ef_per_ev_atom": 1.228
}


No. 4
{
  "formula": "BaSc2Re",
  "functional": "SCAN",
  "state": "single point on PBEsol structure",
  "cell": [[-1.639, 2.252, 7.595], [1.639, -2.252, 7.595], [1.639, 2.252, -7.595]],
  "species": ["Ba", "Sc", "Sc", "Re"],
  "fractional_positions": [[0.000, 0.000, 0.000], [0.318, 0.318, 0.000], [0.682, 0.182, 0.500], [0.186, 0.686, 0.500]],
  "formation_enthalpy_0k_ev_per_atom": 0.377,
  "total_magnetization_mub_per_atom": 0.001,
  "n_ef_per_ev_atom": 1.188
}


No. 5
{
  "formula": "BaRe2Se",
  "functional": "SCAN",
  "state": "single point on PBEsol structure",
  "cell": [[3.187, 0.000, 0.000], [0.000, 3.187, 0.000], [0.000, 0.000, 8.000]],
  "species": ["Ba", "Re", "Re", "Se"],
  "fractional_positions": [[0.000, 0.000, 0.000], [0.000, 0.000, 0.477], [0.500, 0.500, 0.312], [0.500, 0.500, 0.679]],
  "total_magnetization_mub_per_atom": 0.000,
  "e_form_raw_ev_per_atom": 0.380,
  "n_ef_per_ev_atom": 0.817
}


No. 6
{
  "formula": "Ba2ReSe",
  "functional": "SCAN",
  "state": "single point on PBEsol structure",
  "cell": [[5.592, 0.000, 0.000], [0.000, 5.592, 0.000], [0.000, 0.000, 3.742]],
  "species": ["Ba", "Ba", "Re", "Se"],
  "fractional_positions": [[0.000, 0.500, 0.000], [0.500, 0.000, 0.000], [0.000, 0.000, 0.500], [0.500, 0.500, 0.500]],
  "total_magnetization_mub_per_atom": 0.703,
  "e_form_raw_ev_per_atom": 0.095,
  "n_ef_per_ev_atom": 0.316
}


No. 7
{
  "formula": "BaRe2Se",
  "functional": "SCAN",
  "state": "single point on PBEsol structure",
  "cell": [[3.108, 0.000, 0.000], [0.000, 3.108, 0.000], [0.000, 0.000, 8.222]],
  "species": ["Ba", "Re", "Re", "Se"],
  "fractional_positions": [[0.000, 0.000, 0.000], [0.500, 0.500, 0.333], [0.500, 0.500, 0.667], [0.000, 0.000, 0.500]],
  "total_magnetization_mub_per_atom": 0.000,
  "e_form_raw_ev_per_atom": 1.218,
  "n_ef_per_ev_atom": 0.885
}


No. 8
{
  "formula": "Ba2ReSe",
  "functional": "SCAN",
  "state": "single point on PBEsol structure",
  "cell": [[2.196, 1.268, 8.163], [-2.196, 1.268, 8.163], [0.000, -2.536, 8.163]],
  "species": ["Ba", "Ba", "Re", "Se"],
  "fractional_positions": [[0.247, 0.247, 0.247], [0.753, 0.753, 0.753], [0.000, 0.000, 0.000], [0.500, 0.500, 0.500]],
  "total_magnetization_mub_per_atom": 0.750,
  "e_form_raw_ev_per_atom": 0.080,
  "n_ef_per_ev_atom": 0.259
}


No. 9
{
  "formula": "BaReSi2",
  "functional": "SCAN",
  "state": "single point on PBEsol structure",
  "cell": [[4.077, -1.581, 0.000], [4.077, 1.581, 0.000], [-3.373, 0.000, 6.564]],
  "species": ["Ba", "Re", "Si", "Si"],
  "fractional_positions": [[0.000, 0.000, 0.000], [0.222, 0.222, 0.523], [0.564, 0.564, 0.646], [0.869, 0.869, 0.370]],
  "total_magnetization_mub_per_atom": 0.000,
  "e_form_raw_ev_per_atom": 0.000,
  "n_ef_per_ev_atom": 0.653
}


No. 10
{
  "formula": "BaReSi",
  "functional": "SCAN",
  "state": "single point on PBEsol structure",
  "cell": [[-1.655, 1.655, 5.916], [1.655, -1.655, 5.916], [1.655, 1.655, -5.916]],
  "species": ["Ba", "Re", "Si"],
  "fractional_positions": [[0.000, 0.000, 0.000], [0.285, 0.285, 0.000], [0.723, 0.723, 0.000]],
  "total_magnetization_mub_per_atom": 0.000,
  "e_form_raw_ev_per_atom": 0.274,
  "n_ef_per_ev_atom": 0.591
}


No. 11
{
  "formula": "BaReSi2",
  "functional": "SCAN",
  "state": "single point on PBEsol structure",
  "cell": [[2.084, 1.203, 5.847], [-2.084, 1.203, 5.847], [0.000, -2.406, 5.847]],
  "species": ["Ba", "Re", "Si", "Si"],
  "fractional_positions": [[0.000, 0.000, 0.000], [0.500, 0.500, 0.500], [0.199, 0.199, 0.199], [0.801, 0.801, 0.801]],
  "total_magnetization_mub_per_atom": 0.000,
  "e_form_raw_ev_per_atom": -0.142,
  "n_ef_per_ev_atom": 0.652
}


No. 12
{
  "formula": "Ba2ZnReSi",
  "functional": "SCAN",
  "state": "single point on PBEsol structure",
  "cell": [[6.100, 0.000, 0.000], [0.000, 6.100, 0.000], [0.000, 0.000, 4.288]],
  "species": ["Ba", "Ba", "Zn", "Re", "Si"],
  "fractional_positions": [[0.000, 0.500, 0.000], [0.500, 0.000, 0.000], [0.000, 0.000, 0.000], [0.500, 0.500, 0.500], [0.000, 0.000, 0.500]],
  "total_magnetization_mub_per_atom": 0.630,
  "e_form_raw_ev_per_atom": 1.004,
  "n_ef_per_ev_atom": 0.498
}